(1)
## BaSr2CdCu (GGA-PBE)

Data for a relaxed BaSr2CdCu crystal.

Geometry as POSCAR:
```
BaSr2CdCu
1.0
5.880 0.000 0.000
0.000 5.880 0.000
0.000 0.000 6.015
Cd Sr Cu Ba
1 2 1 1
direct
0.500 0.500 0.500
0.500 0.000 0.000
0.000 0.500 0.000
0.000 0.000 0.000
0.000 0.000 0.500
```

***

(2)
## BaTlCd2Cu (GGA-PBE)

Data for a relaxed BaTlCd2Cu crystal.

Geometry as POSCAR:
```
BaTlCd2Cu
1.0
-3.259 -1.713 -3.667
4.047 -1.400 -2.943
-0.018 -4.819 2.268
Cu Cd Tl Ba
1 2 1 1
direct
0.000 0.000 0.000
0.000 0.500 0.000
0.500 0.000 0.000
0.000 0.000 0.500
0.500 0.500 0.500
```

***

(3)
## Ba2ZnCd6Cu (GGA-PBE)

Data for a relaxed Ba2ZnCd6Cu crystal.

Geometry as POSCAR:
```
Ba2ZnCd6Cu
1.0
7.396 -0.003 0.000
-0.003 7.397 0.000
3.696 3.696 5.225
Cd Ba Zn Cu
6 2 1 1
direct
0.746 0.746 0.000
0.746 0.746 0.508
0.746 0.254 0.000
0.254 0.254 0.000
0.254 0.254 0.492
0.254 0.746 0.000
0.750 0.250 0.500
0.250 0.750 0.500
0.000 0.000 0.000
0.500 0.500 0.000
```

***

(4)
## BaZnCd2Cu (GGA-PBE)

Data for a relaxed BaZnCd2Cu crystal.

Geometry as POSCAR:
```
BaZnCd2Cu
1.0
-3.245 -3.925 -0.774
2.454 -1.166 -4.376
3.020 -2.988 2.489
Ba Cd Cu Zn
1 2 1 1
direct
0.500 0.500 0.500
0.500 0.000 0.000
0.000 0.500 0.000
0.000 0.000 0.000
0.000 0.000 0.500
```

***

(5)
## BaZn2CdCu (GGA-PBE)

Data for a relaxed BaZn2CdCu crystal.

Geometry as POSCAR:
```
BaZn2CdCu
1.0
-4.061 -0.008 2.738
-2.693 -0.866 -3.998
0.511 -5.024 0.744
Cd Ba Zn Cu
1 1 2 1
direct
0.000 0.000 0.500
0.500 0.500 0.500
0.500 0.000 0.000
0.000 0.500 0.000
0.000 0.000 0.000
```

***

(6)
## Ba2ZnCdCu (GGA-PBE)

Data for a relaxed Ba2ZnCdCu crystal.

Geometry as POSCAR:
```
Ba2ZnCdCu
1.0
6.157 0.000 0.000
0.000 6.157 0.000
0.000 0.000 4.708
Cu Zn Ba Cd
1 1 2 1
direct
0.000 0.000 0.000
0.000 0.000 0.500
0.000 0.500 0.000
0.500 0.000 0.000
0.500 0.500 0.500
```

***

Number 1: calculated formation energy 0.06 eV per formula unit, N(E_F) 3.1 states/eV per cell, magnetization 0.000 μB per atom. Number 2: calculated formation energy -0.55 eV per formula unit, N(E_F) 3.2 states/eV per cell, magnetization 0.000 μB per atom. Number 3: calculated formation energy -1.22 eV per formula unit, N(E_F) 6.4 states/eV per cell, magnetization 0.000 μB per atom. Number 4: calculated formation energy -0.50 eV per formula unit, N(E_F) 2.8 states/eV per cell, magnetization 0.000 μB per atom. Number 5: calculated formation energy -0.42 eV per formula unit, N(E_F) 2.8 states/eV per cell, magnetization 0.000 μB per atom. Number 6: calculated formation energy -0.40 eV per formula unit, N(E_F) 2.9 states/eV per cell, magnetization 0.000 μB per atom.